Computed, not measured: a geometry-optimized TbHgGe structure at the GGA-PBE level of DFT.

```
TbHgGe
1.0
0.0000 3.3653 3.3653
3.3653 0.0000 3.3653
3.3653 3.3653 0.0000
Tb Ge Hg
1 1 1
direct
0.7500 0.7500 0.7500 Tb
0.0000 0.0000 0.0000 Ge
0.2500 0.2500 0.2500 Hg
```

space-group type = F-43m, No. 216
E = -3.52 eV per atom

=====

Computed, not measured: a geometry-optimized SrY3Ir structure at the GGA-PBE level of DFT.

```
SrY3Ir
1.0
9.2492 0.0000 0.0000
0.0000 3.8070 0.0000
-2.2371 0.0000 8.9858
Y Sr Ir
6 2 2
direct
0.1601 0.2500 0.0934 Y
0.4783 0.2500 0.8431 Y
0.0889 0.2500 0.7105 Y
0.5217 0.7500 0.1569 Y
0.9111 0.7500 0.2895 Y
0.8399 0.7500 0.9066 Y
0.6947 0.2500 0.5258 Sr
0.3053 0.7500 0.4742 Sr
0.2650 0.7500 0.9092 Ir
0.7350 0.2500 0.0908 Ir
```

space-group type = P2_1/m, No. 11
E = -6.36 eV per atom

=====

Computed V, in the same sequence as the records: 25.41 31.64 Å³ per atom.